(1)
Computed, not measured: crystalline TeW2 at its relaxed geometry at the PBE level of DFT.

CIF file:
```
data_TeW2
_cell_length_a 3.2489
_cell_length_b 3.2489
_cell_length_c 6.4712
_cell_angle_alpha 90.00
_cell_angle_beta 90.00
_cell_angle_gamma 120.00
_space_group_name_H-M_alt 'P -3 m 1'
_space_group_IT_number 164
_space_group_name_Hall '-P 3 2"'
loop_
_atom_site_label
_atom_site_type_symbol
_atom_site_fract_x
_atom_site_fract_y
_atom_site_fract_z
Te1 Te 0.0000 0.0000 0.0000
W1 W 0.3333 0.6667 0.3668
```

Summary:
For the excess energy over the best structure of this formula in the dataset, the calculation gives 0.416 eV/atom. The total energy comes out at -0.333 Ha/atom.

(2)
Computed, not measured: crystalline Te5W3 at its relaxed geometry at the PBE level of DFT.

CIF file:
```
data_Te5W3
_cell_length_a 6.5809
_cell_length_b 17.5383
_cell_length_c 6.9564
_cell_angle_alpha 90.00
_cell_angle_beta 103.27
_cell_angle_gamma 90.00
_space_group_name_H-M_alt 'C 1 m 1'
_space_group_IT_number 8
loop_
_space_group_symop_operation_xyz
'x,y,z'
'x,-y,z'
'x+1/2,y+1/2,z'
'x+1/2,-y+1/2,z'
loop_
_atom_site_label
_atom_site_type_symbol
_atom_site_fract_x
_atom_site_fract_y
_atom_site_fract_z
Te1 Te 0.0000 0.0000 0.0000
Te2 Te 0.0323 0.1601 0.4963
Te3 Te 0.0612 0.4034 0.1954
Te4 Te 0.0625 0.3517 0.6678
Te5 Te 0.2611 0.0000 0.6745
Te6 Te 0.4444 0.2865 0.9982
W1 W 0.1868 0.5000 0.6713
W2 W 0.2662 0.1385 0.8962
W3 W 0.3395 0.2070 0.3053
W4 W 0.3576 0.5000 0.4068
```

Summary:
For the excess energy over the best structure of this formula in the dataset, the calculation gives 0.000 eV/atom. The total energy comes out at -0.234 Ha/atom.

(3)
Computed, not measured: crystalline TeW3 at its relaxed geometry at the PBE level of DFT.

CIF file:
```
data_TeW3
_cell_length_a 5.6422
_cell_length_b 5.6422
_cell_length_c 10.1334
_cell_angle_alpha 90.00
_cell_angle_beta 90.00
_cell_angle_gamma 120.00
_space_group_name_H-M_alt 'P 63/m m c'
_space_group_IT_number 194
_space_group_name_Hall '-P 6c 2c'
loop_
_atom_site_label
_atom_site_type_symbol
_atom_site_fract_x
_atom_site_fract_y
_atom_site_fract_z
Te1 Te 0.0000 0.0000 0.0000
Te2 Te 0.3333 0.6667 0.2500
W1 W 0.0000 0.5000 0.0000
W2 W 0.1699 0.3398 0.7500
```

Summary:
For the excess energy over the best structure of this formula in the dataset, the calculation gives 0.383 eV/atom. The total energy comes out at -0.352 Ha/atom.

(4)
Computed, not measured: crystalline TeW at its relaxed geometry at the PBE level of DFT.

CIF file:
```
data_TeW
_cell_length_a 3.5003
_cell_length_b 4.2531
_cell_length_c 7.0628
_cell_angle_alpha 90.00
_cell_angle_beta 90.00
_cell_angle_gamma 90.00
_space_group_name_H-M_alt 'P m m n'
_space_group_IT_number 59
loop_
_space_group_symop_operation_xyz
'x,y,z'
'-x,-y,-z'
'-x+1/2,-y+1/2,z'
'x+1/2,y+1/2,-z'
'x+1/2,-y,-z'
'-x+1/2,y,z'
'-x,y+1/2,-z'
'x,-y+1/2,z'
loop_
_atom_site_label
_atom_site_type_symbol
_atom_site_fract_x
_atom_site_fract_y
_atom_site_fract_z
Te1 Te 0.2500 0.2500 0.2200
W1 W 0.2500 0.7500 0.4845
```

Summary:
For the excess energy over the best structure of this formula in the dataset, the calculation gives 0.000 eV/atom. The total energy comes out at -0.287 Ha/atom.

(5)
Computed, not measured: crystalline TeW3 at its relaxed geometry at the PBE level of DFT.

CIF file:
```
data_TeW3
_cell_length_a 5.4316
_cell_length_b 8.7941
_cell_length_c 6.1302
_cell_angle_alpha 90.00
_cell_angle_beta 90.00
_cell_angle_gamma 90.00
_space_group_name_H-M_alt 'P n m a'
_space_group_IT_number 62
loop_
_space_group_symop_operation_xyz
'x,y,z'
'-x,-y,-z'
'-x+1/2,-y,z+1/2'
'x+1/2,y,-z+1/2'
'x+1/2,-y+1/2,-z+1/2'
'-x+1/2,y+1/2,z+1/2'
'-x,y+1/2,-z'
'x,-y+1/2,z'
loop_
_atom_site_label
_atom_site_type_symbol
_atom_site_fract_x
_atom_site_fract_y
_atom_site_fract_z
Te1 Te 0.0461 0.2500 0.0851
W1 W 0.1307 0.2500 0.6583
W2 W 0.1774 0.0079 0.3371
```

Summary:
For the excess energy over the best structure of this formula in the dataset, the calculation gives 0.159 eV/atom. The total energy comes out at -0.360 Ha/atom.

(6)
Computed, not measured: crystalline TeW at its relaxed geometry at the PBE level of DFT.

CIF file:
```
data_TeW
_cell_length_a 5.0669
_cell_length_b 5.0669
_cell_length_c 7.8991
_cell_angle_alpha 90.00
_cell_angle_beta 90.00
_cell_angle_gamma 120.00
_space_group_name_H-M_alt 'P 63/m m c'
_space_group_IT_number 194
_space_group_name_Hall '-P 6c 2c'
loop_
_atom_site_label
_atom_site_type_symbol
_atom_site_fract_x
_atom_site_fract_y
_atom_site_fract_z
Te1 Te 0.0000 0.0000 0.2500
Te2 Te 0.3333 0.6667 0.2500
W1 W 0.3333 0.6667 0.5916
```

Summary:
For the excess energy over the best structure of this formula in the dataset, the calculation gives 1.164 eV/atom. The total energy comes out at -0.245 Ha/atom.

(7)
Computed, not measured: crystalline Te5W3 at its relaxed geometry at the PBE level of DFT.

CIF file:
```
data_Te5W3
_cell_length_a 7.1725
_cell_length_b 10.0896
_cell_length_c 4.7058
_cell_angle_alpha 90.00
_cell_angle_beta 90.00
_cell_angle_gamma 90.00
_space_group_name_H-M_alt 'C m m m'
_space_group_IT_number 65
_space_group_name_Hall '-C 2 2'
loop_
_atom_site_label
_atom_site_type_symbol
_atom_site_fract_x
_atom_site_fract_y
_atom_site_fract_z
Te1 Te 0.0000 0.0000 0.0000
Te2 Te 0.2244 0.5000 0.5000
Te3 Te 0.2500 0.2500 0.0000
W1 W 0.0000 0.2777 0.5000
W2 W 0.0000 0.5000 0.0000
```

Summary:
For the excess energy over the best structure of this formula in the dataset, the calculation gives 0.433 eV/atom. The total energy comes out at -0.218 Ha/atom.

(8)
Computed, not measured: crystalline TeW3 at its relaxed geometry at the PBE level of DFT.

CIF file:
```
data_TeW3
_cell_length_a 3.0643
_cell_length_b 4.2607
_cell_length_c 5.3842
_cell_angle_alpha 90.00
_cell_angle_beta 90.00
_cell_angle_gamma 90.00
_space_group_name_H-M_alt 'P m m m'
_space_group_IT_number 47
loop_
_space_group_symop_operation_xyz
'x,y,z'
'-x,-y,-z'
'-x,-y,z'
'x,y,-z'
'x,-y,-z'
'-x,y,z'
'-x,y,-z'
'x,-y,z'
loop_
_atom_site_label
_atom_site_type_symbol
_atom_site_fract_x
_atom_site_fract_y
_atom_site_fract_z
Te1 Te 0.0000 0.0000 0.0000
W1 W 0.0000 0.0000 0.5000
W2 W 0.5000 0.5000 0.2647
```

Summary:
For the excess energy over the best structure of this formula in the dataset, the calculation gives 0.153 eV/atom. The total energy comes out at -0.360 Ha/atom.